# 1
Here is a relaxed structure of TmTlIn from the Alexandria database. Energies are from PBE.

```
TmTlIn
1.0
3.586 0.000 0.000
0.000 5.026 0.000
0.000 -2.513 4.353
Tl Tm In
1 1 1
Direct
0.037 0.000 0.000 Tl
0.684 0.667 0.333 Tm
0.279 0.333 0.667 In
```

Summary:
**Energy above the lowest structure with this stoichiometry**: 0 meV/atom
**Total magnetic moment**: 0.00 Bohr magnetons per cell
**Formation energy**: -0.22 eV/atom



# 2
Here is a relaxed structure of Ti2SnH2 from the Alexandria database. Energies are from PBE.

```
Ti2SnH2
1.0
3.579 0.000 0.000
0.000 3.579 0.000
1.789 1.789 4.583
H Sn Ti
2 1 2
Direct
0.750 0.250 0.500 H
0.250 0.750 0.500 H
0.000 0.000 0.000 Sn
0.328 0.328 0.343 Ti
0.672 0.672 0.657 Ti
```

Summary:
**Energy above the lowest structure with this stoichiometry**: 0 meV/atom
**Total magnetic moment**: 0.00 Bohr magnetons per cell



# 3
Here is a relaxed structure of Ac3TbSe4 from the Alexandria database. Energies are from PBE.

```
Ac3TbSe4
1.0
6.214 0.000 0.000
0.000 6.214 0.000
0.000 0.000 6.214
Ac Tb Se
3 1 4
Direct
0.000 0.500 0.500 Ac
0.500 0.000 0.500 Ac
0.500 0.500 0.000 Ac
0.000 0.000 0.000 Tb
0.500 0.000 0.000 Se
0.000 0.500 0.000 Se
0.000 0.000 0.500 Se
0.500 0.500 0.500 Se
```

Summary:
**Formation energy without anion corrections**: -1.78 eV/atom
**Energy above the lowest structure with this stoichiometry**: 45 meV/atom
**Total magnetic moment**: 0.00 Bohr magnetons per cell



# 4
Here is a relaxed structure of BaTl2InPb from the Alexandria database. Energies are from PBE.

```
BaTl2InPb
1.0
-2.532 -1.266 -2.721
4.674 -6.774 1.637
-6.826 -2.854 7.681
Ba Tl In Pb
2 4 2 2
Direct
0.849 0.698 0.750 Ba
0.151 0.302 0.250 Ba
0.188 0.375 0.905 Tl
0.812 0.625 0.095 Tl
0.188 0.375 0.595 Tl
0.812 0.625 0.405 Tl
0.549 0.098 0.750 In
0.451 0.902 0.250 In
0.000 0.000 0.000 Pb
0.000 0.000 0.500 Pb
```

Summary:
**Energy above the lowest structure with this stoichiometry**: 0 meV/atom
**Total magnetic moment**: 0.00 Bohr magnetons per cell
**Formation energy**: -0.15 eV/atom



# 5
Here is a relaxed structure of SrAl2Sb2 from the Alexandria database. Energies are from PBE.

```
SrAl2Sb2
1.0
8.300 0.000 0.000
0.000 8.300 0.000
0.000 0.000 3.868
Sb Al Sr
4 4 2
Direct
0.356 0.856 0.000 Sb
0.856 0.644 0.000 Sb
0.644 0.144 0.000 Sb
0.144 0.356 0.000 Sb
0.137 0.637 0.500 Al
0.637 0.863 0.500 Al
0.863 0.363 0.500 Al
0.363 0.137 0.500 Al
0.000 0.000 0.000 Sr
0.500 0.500 0.000 Sr
```

Summary:
**Formation energy without anion corrections**: -0.11 eV/atom
**Total magnetic moment**: 0.00 Bohr magnetons per cell



# 6
Here is a relaxed structure of Ac2AlInPd6 from the Alexandria database. Energies are from PBE.

```
Ac2AlInPd6
1.0
-2.175 5.232 0.535
-0.404 -1.051 8.627
2.862 3.799 4.760
Ac Al In Pd
2 1 1 6
Direct
0.248 0.780 0.504 Ac
0.752 0.220 0.496 Ac
0.500 0.500 0.000 Al
0.000 0.000 0.000 In
0.253 0.740 0.998 Pd
0.749 0.739 0.998 Pd
0.253 0.409 0.494 Pd
0.747 0.260 0.002 Pd
0.251 0.261 0.002 Pd
0.747 0.591 0.506 Pd
```

Summary:
**Total magnetic moment**: 0.00 Bohr magnetons per cell
**Formation energy**: -0.72 eV/atom